Entry 1:
InGaIrPd: relaxed, PBE-GGA.

abc: 4.508 4.508 4.508
angles: 60.00 60.00 60.00
Positions (direct):
1 In 0.000 0.000 0.000
2 Ga 0.500 0.500 0.500
3 Ir 0.750 0.750 0.750
4 Pd 0.250 0.250 0.250

Calculated formation energy in eV/atom: -0.307
E in eV per atom: -5.261

=====

Entry 2:
Pm2InGa3Ir4: relaxed, PBE-GGA.

abc: 4.281 4.281 10.652
angles: 90.00 90.00 90.00
Positions (direct):
1 Pm 0.000 0.500 0.230
2 Pm 0.500 0.000 0.770
3 In 0.000 0.000 0.500
4 Ga 0.000 0.500 0.878
5 Ga 0.500 0.000 0.122
6 Ga 0.500 0.500 0.500
7 Ir 0.000 0.000 0.000
8 Ir 0.000 0.500 0.646
9 Ir 0.500 0.000 0.354
10 Ir 0.500 0.500 0.000

Calculated formation energy in eV/atom: -0.627
E in eV per atom: -6.304

=====

Entry 3:
Pm2InGa4Ir3: relaxed, PBE-GGA.

abc: 4.182 4.182 11.198
angles: 90.00 90.00 90.00
Positions (direct):
1 Pm 0.000 0.500 0.236
2 Pm 0.500 0.000 0.764
3 In 0.000 0.000 0.500
4 Ga 0.000 0.000 0.000
5 Ga 0.000 0.500 0.649
6 Ga 0.500 0.000 0.351
7 Ga 0.500 0.500 0.000
8 Ir 0.000 0.500 0.870
9 Ir 0.500 0.000 0.130
10 Ir 0.500 0.500 0.500

Calculated formation energy in eV/atom: -0.593
E in eV per atom: -5.686

=====

Entry 4:
Pr2InGa4Ir3: relaxed, PBE-GGA.

abc: 4.243 4.243 11.067
angles: 90.00 90.00 90.00
Positions (direct):
1 Pr 0.000 0.500 0.237
2 Pr 0.500 0.000 0.763
3 In 0.000 0.000 0.500
4 Ga 0.000 0.000 0.000
5 Ga 0.000 0.500 0.648
6 Ga 0.500 0.000 0.352
7 Ga 0.500 0.500 0.000
8 Ir 0.000 0.500 0.873
9 Ir 0.500 0.000 0.127
10 Ir 0.500 0.500 0.500

Calculated formation energy in eV/atom: -0.587
E in eV per atom: -5.686

=====

Entry 5:
RbIn2GaIr: relaxed, PBE-GGA.

abc: 5.282 5.282 4.942
angles: 90.00 90.00 90.00
Positions (direct):
1 Rb 0.000 0.000 0.000
2 In 0.000 0.500 0.500
3 In 0.500 0.000 0.500
4 Ga 0.500 0.500 0.000
5 Ir 0.500 0.500 0.500

Calculated formation energy in eV/atom: -0.162
E in eV per atom: -3.829

=====

Entry 6:
RbInGa2Ir: relaxed, PBE-GGA.

abc: 4.928 4.928 5.305
angles: 90.00 90.00 90.00
Positions (direct):
1 Rb 0.000 0.000 0.000
2 In 0.500 0.500 0.000
3 Ga 0.000 0.500 0.500
4 Ga 0.500 0.000 0.500
5 Ir 0.500 0.500 0.500

Calculated formation energy in eV/atom: -0.195
E in eV per atom: -3.919

=====

Entry 7:
InGaReIr2: relaxed, PBE-GGA.

abc: 4.801 4.801 4.826
angles: 90.00 90.00 90.00
Positions (direct):
1 In 0.000 0.000 0.000
2 Ga 0.500 0.500 0.000
3 Re 0.500 0.500 0.500
4 Ir 0.000 0.500 0.500
5 Ir 0.500 0.000 0.500

Calculated formation energy in eV/atom: 1.029
E in eV per atom: -6.158

=====

Entry 8:
InGaIrRh: relaxed, PBE-GGA.

abc: 4.460 4.460 4.460
angles: 60.00 60.00 60.00
Positions (direct):
1 In 0.000 0.000 0.000
2 Ga 0.500 0.500 0.500
3 Ir 0.250 0.250 0.250
4 Rh 0.750 0.750 0.750

Calculated formation energy in eV/atom: -0.321
E in eV per atom: -5.815

=====

Entry 9:
In2GaIrRu: relaxed, PBE-GGA.

abc: 5.107 5.107 4.686
angles: 90.00 90.00 90.00
Positions (direct):
1 In 0.000 0.500 0.000
2 In 0.500 0.000 0.000
3 Ga 0.000 0.000 0.500
4 Ir 0.000 0.000 0.000
5 Ru 0.500 0.500 0.500

Calculated formation energy in eV/atom: 0.687
E in eV per atom: -4.641

=====

Entry 10:
InGaIrRu: relaxed, PBE-GGA.

abc: 4.451 4.451 4.451
angles: 60.00 60.00 60.00
Positions (direct):
1 In 0.000 0.000 0.000
2 Ga 0.500 0.500 0.500
3 Ir 0.250 0.250 0.250
4 Ru 0.750 0.750 0.750

Calculated formation energy in eV/atom: -0.150
E in eV per atom: -6.126

=====

Entry 11:
In2GaIrS: relaxed, PBE-GGA.

abc: 5.373 5.373 4.435
angles: 90.00 90.00 90.00
Positions (direct):
1 In 0.000 0.500 0.000
2 In 0.500 0.000 0.000
3 Ga 0.000 0.000 0.500
4 Ir 0.500 0.500 0.000
5 S 0.500 0.500 0.500

E in eV per atom: -4.097
Formation energy without anion corrections in kJ per mole of atoms: 19.4

=====

Entry 12:
InGaSbIr2: relaxed, PBE-GGA.

abc: 4.951 4.951 5.204
angles: 90.00 90.00 90.00
Positions (direct):
1 In 0.000 0.000 0.000
2 Ga 0.500 0.500 0.000
3 Sb 0.500 0.500 0.500
4 Ir 0.000 0.500 0.500
5 Ir 0.500 0.000 0.500

E in eV per atom: -4.441
Formation energy without anion corrections in kJ per mole of atoms: 104.3

=====

Entry 13:
ScInGaIr: relaxed, PBE-GGA.

abc: 4.624 4.624 4.624
angles: 60.00 60.00 60.00
Positions (direct):
1 Sc 0.000 0.000 0.000
2 In 0.250 0.250 0.250
3 Ga 0.750 0.750 0.750
4 Ir 0.500 0.500 0.500

Calculated formation energy in eV/atom: -0.431
E in eV per atom: -5.670

=====

Entry 14:
Sm2InGa3Ir4: relaxed, PBE-GGA.

abc: 4.268 4.268 10.666
angles: 90.00 90.00 90.00
Positions (direct):
1 Sm 0.000 0.500 0.230
2 Sm 0.500 0.000 0.770
3 In 0.000 0.000 0.500
4 Ga 0.000 0.500 0.878
5 Ga 0.500 0.000 0.122
6 Ga 0.500 0.500 0.500
7 Ir 0.000 0.000 0.000
8 Ir 0.000 0.500 0.647
9 Ir 0.500 0.000 0.353
10 Ir 0.500 0.500 0.000

Calculated formation energy in eV/atom: -0.626
E in eV per atom: -6.296

=====

Entry 15:
Sm2InGa4Ir3: relaxed, PBE-GGA.

abc: 4.159 4.159 11.259
angles: 90.00 90.00 90.00
Positions (direct):
1 Sm 0.000 0.500 0.236
2 Sm 0.500 0.000 0.764
3 In 0.000 0.000 0.500
4 Ga 0.000 0.000 0.000
5 Ga 0.000 0.500 0.649
6 Ga 0.500 0.000 0.351
7 Ga 0.500 0.500 0.000
8 Ir 0.000 0.500 0.869
9 Ir 0.500 0.000 0.131
10 Ir 0.500 0.500 0.500

Calculated formation energy in eV/atom: -0.592
E in eV per atom: -5.679

=====

Entry 16:
Sr2InGa3Ir4: relaxed, PBE-GGA.

abc: 4.383 4.383 10.583
angles: 90.00 90.00 90.00
Positions (direct):
1 Sr 0.000 0.500 0.234
2 Sr 0.500 0.000 0.766
3 In 0.000 0.000 0.500
4 Ga 0.000 0.500 0.881
5 Ga 0.500 0.000 0.119
6 Ga 0.500 0.500 0.500
7 Ir 0.000 0.000 0.000
8 Ir 0.000 0.500 0.640
9 Ir 0.500 0.000 0.360
10 Ir 0.500 0.500 0.000

Calculated formation energy in eV/atom: -0.473
E in eV per atom: -5.536

=====

Entry 17:
SrIn2GaIr: relaxed, PBE-GGA.

abc: 5.222 5.222 4.857
angles: 90.00 90.00 90.00
Positions (direct):
1 Sr 0.000 0.000 0.000
2 In 0.000 0.500 0.500
3 In 0.500 0.000 0.500
4 Ga 0.500 0.500 0.000
5 Ir 0.500 0.500 0.500

Calculated formation energy in eV/atom: -0.270
E in eV per atom: -4.080

=====

Entry 18:
Sr2InGaIr: relaxed, PBE-GGA.

abc: 5.838 5.838 4.819
angles: 90.00 90.00 90.00
Positions (direct):
1 Sr 0.000 0.500 0.000
2 Sr 0.500 0.000 0.000
3 In 0.000 0.000 0.500
4 Ga 0.500 0.500 0.500
5 Ir 0.500 0.500 0.000

Calculated formation energy in eV/atom: -0.241
E in eV per atom: -3.839

=====

Entry 19:
SrIn2GaIr2: relaxed, PBE-GGA.

abc: 4.727 4.727 6.188
angles: 90.00 90.00 90.00
Positions (direct):
1 Sr 0.000 0.000 0.000
2 In 0.500 0.500 0.241
3 In 0.500 0.500 0.759
4 Ga 0.000 0.000 0.500
5 Ir 0.000 0.500 0.500
6 Ir 0.500 0.000 0.500

Calculated formation energy in eV/atom: -0.210
E in eV per atom: -4.861

=====

Entry 20:
Tb2InGa2Ir5: relaxed, PBE-GGA.

abc: 9.801 9.801 3.673
angles: 90.00 90.00 90.00
Positions (direct):
1 Tb 0.175 0.325 0.000
2 Tb 0.325 0.825 0.000
3 Tb 0.675 0.175 0.000
4 Tb 0.825 0.675 0.000
5 In 0.000 0.000 0.000
6 In 0.500 0.500 0.000
7 Ga 0.123 0.623 0.000
8 Ga 0.377 0.123 0.000
9 Ga 0.623 0.877 0.000
10 Ga 0.877 0.377 0.000
11 Ir 0.000 0.500 0.500
12 Ir 0.066 0.790 0.500
13 Ir 0.210 0.066 0.500
14 Ir 0.290 0.566 0.500
15 Ir 0.434 0.290 0.500
16 Ir 0.500 0.000 0.500
17 Ir 0.566 0.710 0.500
18 Ir 0.710 0.434 0.500
19 Ir 0.790 0.934 0.500
20 Ir 0.934 0.210 0.500

Calculated formation energy in eV/atom: -0.591
E in eV per atom: -6.827